Entry 1:
Entry from the Alexandria database: crystalline Ag3HgPd6 at its relaxed geometry (PBE).

Summary:
formation energy = -0.033 eV/atom
symmetry = No. 11
ΔE to the lowest computed polymorph = 0.0000 eV/atom

Cell: 4.713 7.573 10.225 Å, 114.06 90.00 90.00°
Fractional coordinates of all 20 atoms:
Pd1 0.750 0.332 0.329
Pd2 0.250 0.668 0.671
Pd3 0.250 0.165 0.170
Pd4 0.750 0.539 0.933
Pd5 0.750 0.835 0.830
Pd6 0.750 0.732 0.530
Pd7 0.750 0.934 0.127
Pd8 0.250 0.268 0.470
Pd9 0.250 0.863 0.265
Pd10 0.250 0.461 0.067
Pd11 0.250 0.066 0.873
Pd12 0.750 0.137 0.735
Ag1 0.250 0.768 0.969
Ag2 0.750 0.630 0.227
Ag3 0.250 0.370 0.773
Ag4 0.750 0.442 0.634
Ag5 0.250 0.558 0.366
Ag6 0.750 0.232 0.031
Hg1 0.750 0.037 0.424
Hg2 0.250 0.963 0.576

Entry 2:
Entry from the Alexandria database: crystalline Tc2PPtAu at its relaxed geometry (PBE).

Summary:
formation energy = 1.810 eV/atom
symmetry = No. 123

Cell: 4.811 5.009 4.811 Å, 90.00 90.00 90.00°
Site moments in Bohr magnetons follow the coordinates.
Fractional coordinates of all 5 atoms:
P1 0.500 0.500 0.500  -0.13
Tc1 0.500 0.000 0.000  1.92
Tc2 0.000 0.000 0.500  2.11
Pt1 0.000 0.000 0.000  0.10
Au1 0.000 0.500 0.000  0.04

Entry 3:
Entry from the Alexandria database: crystalline La2ErPuAs4 at its relaxed geometry (PBE).

Summary:
formation energy = -1.396 eV/atom
symmetry = No. 10

Cell: 4.249 7.336 7.345 Å, 109.46 90.00 90.00°
Site moments in Bohr magnetons follow the coordinates.
Fractional coordinates of all 8 atoms:
As1 0.000 0.256 0.766  -0.05
As2 0.500 0.755 0.767  -0.08
As3 0.000 0.744 0.234  -0.05
As4 0.500 0.245 0.233  -0.08
La1 0.500 0.000 0.500  0.01
La2 0.000 0.500 0.500  -0.01
Er1 0.500 0.500 0.000  0.00
Pu1 0.000 0.000 0.000  5.00

Entry 4:
Entry from the Alexandria database: crystalline Ac6YSe8 at its relaxed geometry (PBE).

Summary:
formation energy (no corrections) = -2749.6 kJ/mol of formula units
symmetry = No. 225

Cell: 8.865 8.865 8.865 Å, 60.00 60.00 60.00°
Fractional coordinates of all 15 atoms:
Ac1 0.500 0.000 0.500
Ac2 0.500 0.000 0.000
Ac3 0.000 0.500 0.500
Ac4 0.500 0.500 0.000
Ac5 0.000 0.000 0.500
Ac6 0.000 0.500 0.000
Se1 0.236 0.764 0.236
Se2 0.764 0.236 0.764
Se3 0.750 0.750 0.750
Se4 0.250 0.250 0.250
Se5 0.236 0.764 0.764
Se6 0.236 0.236 0.764
Se7 0.764 0.236 0.236
Se8 0.764 0.764 0.236
Y1 0.000 0.000 0.000

Entry 5:
Entry from the Alexandria database: crystalline NaSrBi at its relaxed geometry (PBE).

Summary:
formation energy = -0.623 eV/atom
symmetry = No. 59

Cell: 5.613 5.626 7.772 Å, 89.99 90.00 90.00°
Fractional coordinates of all 6 atoms:
Na1 0.253 0.752 0.503
Na2 0.753 0.252 0.501
Sr1 0.253 0.751 0.003
Sr2 0.753 0.251 0.001
Bi1 0.753 0.751 0.752
Bi2 0.253 0.251 0.252

Entry 6:
Entry from the Alexandria database: crystalline TlNi2S2 at its relaxed geometry (PBE).

Summary:
formation energy (no corrections) = -70.2 kJ/mol of formula units
symmetry = No. 139
ΔE to the lowest computed polymorph = 0.1824 eV/atom

Cell: 4.373 4.373 6.171 Å, 69.25 69.25 90.00°
Fractional coordinates of all 5 atoms:
Ni1 0.302 0.302 0.395
Ni2 0.698 0.698 0.605
S1 0.750 0.250 0.500
S2 0.250 0.750 0.500
Tl1 0.000 0.000 0.000